[1]
# Pm2Ga4NiIr3, optimized geometry, DFT PBE
data_Pm2Ga4NiIr3
_chemical_formula_sum 'Pm2 Ga4 Ni1 Ir3'
_cell_length_a 4.1883
_cell_length_b 4.1883
_cell_length_c 10.5064
_cell_angle_alpha 90.00
_cell_angle_beta 90.00
_cell_angle_gamma 90.00
_space_group_name_H-M_alt 'P 1'
_space_group_IT_number 1
loop_
_space_group_symop_operation_xyz
'x,y,z'
loop_
_atom_site_label
_atom_site_type_symbol
_atom_site_fract_x
_atom_site_fract_y
_atom_site_fract_z
Ir1 Ir 0.5000 0.0000 0.8623
Ir2 Ir 0.0000 0.0000 0.5000
Ir3 Ir 0.0000 0.5000 0.1377
Ni1 Ni 0.5000 0.5000 0.5000
Ga1 Ga 0.0000 0.5000 0.3760
Ga2 Ga 0.5000 0.5000 0.0000
Ga3 Ga 0.0000 0.0000 0.0000
Ga4 Ga 0.5000 0.0000 0.6240
Pm1 Pm 0.5000 0.0000 0.2570
Pm2 Pm 0.0000 0.5000 0.7430
# * symmetry: P-4m2 (115)

---

[2]
# Ac3Nd, optimized geometry, DFT PBE
data_Ac3Nd
_chemical_formula_sum 'Ac3 Nd1'
_cell_length_a 5.5318
_cell_length_b 5.5318
_cell_length_c 5.5318
_cell_angle_alpha 90.00
_cell_angle_beta 90.00
_cell_angle_gamma 90.00
_space_group_name_H-M_alt 'P 1'
_space_group_IT_number 1
loop_
_space_group_symop_operation_xyz
'x,y,z'
loop_
_atom_site_label
_atom_site_type_symbol
_atom_site_fract_x
_atom_site_fract_y
_atom_site_fract_z
Ac1 Ac 0.5000 0.5000 0.0000
Ac2 Ac 0.0000 0.5000 0.5000
Ac3 Ac 0.5000 0.0000 0.5000
Nd1 Nd 0.0000 0.0000 0.0000
# * distance to the lowest polymorph of the same formula: 0.00 eV/f.u.
# * symmetry: Pm-3m (221)

---

[3]
# CoAs2Ru, optimized geometry, DFT PBE
data_CoAs2Ru
_chemical_formula_sum 'Co1 As2 Ru1'
_cell_length_a 4.3106
_cell_length_b 4.3106
_cell_length_c 4.3106
_cell_angle_alpha 60.00
_cell_angle_beta 60.00
_cell_angle_gamma 60.00
_space_group_name_H-M_alt 'P 1'
_space_group_IT_number 1
loop_
_space_group_symop_operation_xyz
'x,y,z'
loop_
_atom_site_label
_atom_site_type_symbol
_atom_site_fract_x
_atom_site_fract_y
_atom_site_fract_z
As1 As 0.7500 0.7500 0.7500
As2 As 0.2500 0.2500 0.2500
Co1 Co 0.0000 0.0000 0.0000
Ru1 Ru 0.5000 0.5000 0.5000
# * distance to the lowest polymorph of the same formula: 0.69 eV/f.u.
# * symmetry: Fm-3m (225)

---

[4]
# Mg2ScCr, optimized geometry, DFT PBE
data_Mg2ScCr
_chemical_formula_sum 'Mg4 Sc2 Cr2'
_cell_length_a 4.0933
_cell_length_b 4.0933
_cell_length_c 11.0514
_cell_angle_alpha 79.33
_cell_angle_beta 79.33
_cell_angle_gamma 90.00
_space_group_name_H-M_alt 'P 1'
_space_group_IT_number 1
loop_
_space_group_symop_operation_xyz
'x,y,z'
loop_
_atom_site_label
_atom_site_type_symbol
_atom_site_fract_x
_atom_site_fract_y
_atom_site_fract_z
Sc1 Sc 0.2500 0.7500 0.5000
Sc2 Sc 0.5000 0.5000 0.0000
Mg1 Mg 0.1162 0.6250 0.2500
Mg2 Mg 0.8750 0.8838 0.7500
Mg3 Mg 0.6338 0.1250 0.2500
Mg4 Mg 0.3750 0.3662 0.7500
Cr1 Cr 0.7500 0.2500 0.5000
Cr2 Cr 0.0000 0.0000 0.0000
# * distance to the lowest polymorph of the same formula: 1.42 eV/f.u.
# * symmetry: I-42d (122)

---

[5]
# Pr4Y3Cd, optimized geometry, DFT PBE
data_Pr4Y3Cd
_chemical_formula_sum 'Pr4 Y3 Cd1'
_cell_length_a 3.6913
_cell_length_b 3.6913
_cell_length_c 19.4758
_cell_angle_alpha 90.00
_cell_angle_beta 90.00
_cell_angle_gamma 90.00
_space_group_name_H-M_alt 'P 1'
_space_group_IT_number 1
loop_
_space_group_symop_operation_xyz
'x,y,z'
loop_
_atom_site_label
_atom_site_type_symbol
_atom_site_fract_x
_atom_site_fract_y
_atom_site_fract_z
Y1 Y 0.5000 0.5000 0.5000
Y2 Y 0.5000 0.5000 0.2406
Y3 Y 0.5000 0.5000 0.7594
Pr1 Pr 0.0000 0.0000 0.3706
Pr2 Pr 0.0000 0.0000 0.6294
Pr3 Pr 0.0000 0.0000 0.1091
Pr4 Pr 0.0000 0.0000 0.8909
Cd1 Cd 0.5000 0.5000 0.0000
# * symmetry: P4/mmm (123)

---

[6]
# Pm3Sm4Mg2, optimized geometry, DFT PBE
data_Pm3Sm4Mg2
_chemical_formula_sum 'Pm3 Sm4 Mg2'
_cell_length_a 5.0513
_cell_length_b 7.9210
_cell_length_c 7.9927
_cell_angle_alpha 107.79
_cell_angle_beta 108.42
_cell_angle_gamma 90.00
_space_group_name_H-M_alt 'P 1'
_space_group_IT_number 1
loop_
_space_group_symop_operation_xyz
'x,y,z'
loop_
_atom_site_label
_atom_site_type_symbol
_atom_site_fract_x
_atom_site_fract_y
_atom_site_fract_z
Mg1 Mg 0.3314 0.0008 0.6627
Mg2 Mg 0.6686 0.9992 0.3373
Sm1 Sm 0.2219 0.3271 0.4437
Sm2 Sm 0.4447 0.6689 0.8895
Sm3 Sm 0.5553 0.3311 0.1105
Sm4 Sm 0.7781 0.6729 0.5563
Pm1 Pm 0.8875 0.3315 0.7749
Pm2 Pm 0.0000 0.0000 0.0000
Pm3 Pm 0.1125 0.6685 0.2251
# * symmetry: C2/m (12)

---

Respective Fermi-level density of states values: 0.43, 1.70, 0.63, 0.73, 1.44, 1.29 states/eV per atom.
Respective formation enthalpy at 0 K values: -6.701, 0.081, 0.260, 2.110, -0.483, 0.061 eV per formula unit.